--- 1 ---
## CdAgPd4 (GGA-PBE)

Data for crystalline CdAgPd4 at its relaxed geometry.

Summary:
The magnetic moment is 0.00 μB per atom. The value obtained for the calculated volume is 16.38 A^3/atom. The crystal system is orthorhombic. For the density of states at the Fermi level, the calculation gives 3.32 states/eV/f.u.

abc: 4.062 4.044 6.319
angles: 90.00 108.75 90.00
Sites, in units of the cell vectors:
Pd  0.830  0.500  0.661
Ag  0.000  0.000  0.000
Pd  0.331  0.000  0.661
Cd  0.500  0.500  0.000
Pd  0.170  0.500  0.339
Pd  0.669  0.000  0.339

***

--- 2 ---
## CdAgPd4 (GGA-PBE)

Data for crystalline CdAgPd4 at its relaxed geometry.

Summary:
The magnetic moment is 0.00 μB per atom. The value obtained for the calculated volume is 17.43 A^3/atom. The crystal system is cubic. For the density of states at the Fermi level, the calculation gives 8.77 states/eV/f.u.

abc: 5.288 5.288 5.288
angles: 60.00 60.00 60.00
Sites, in units of the cell vectors:
Pd  0.125  0.625  0.625
Cd  0.250  0.250  0.250
Pd  0.625  0.625  0.125
Ag  0.000  0.000  0.000
Pd  0.625  0.125  0.625
Pd  0.625  0.625  0.625

***

--- 3 ---
## CdAgPd4 (GGA-PBE)

Data for crystalline CdAgPd4 at its relaxed geometry.

Summary:
The magnetic moment is 0.00 μB per atom. The value obtained for the calculated volume is 17.07 A^3/atom. The crystal system is monoclinic. For the density of states at the Fermi level, the calculation gives 4.41 states/eV/f.u.

abc: 5.477 5.458 8.301
angles: 99.77 99.87 118.82
Sites, in units of the cell vectors:
Cd  0.625  0.375  0.750
Pd  0.281  0.532  0.564
Ag  0.875  0.125  0.250
Cd  0.375  0.625  0.250
Ag  0.125  0.875  0.750
Pd  0.532  0.281  0.064
Pd  0.783  0.032  0.564
Pd  0.217  0.968  0.436
Pd  0.968  0.217  0.936
Pd  0.032  0.783  0.064
Pd  0.468  0.719  0.936
Pd  0.719  0.468  0.436

***

Most stable structure: 1

***

--- 1 ---
## Cd6AgPd2 (GGA-PBE)

Data for crystalline Cd6AgPd2 at its relaxed geometry.

Summary:
The magnetic moment is 0.00 μB per atom. The value obtained for the calculated volume is 19.14 A^3/atom. The crystal system is monoclinic. For the density of states at the Fermi level, the calculation gives 3.41 states/eV/f.u.

abc: 4.267 5.123 9.050
angles: 105.16 90.00 114.61
Sites, in units of the cell vectors:
Pd  0.673  0.346  0.725
Ag  0.000  0.000  0.500
Cd  0.998  0.996  0.179
Cd  0.335  0.670  0.605
Cd  0.002  0.004  0.821
Pd  0.327  0.654  0.275
Cd  0.665  0.330  0.395
Cd  0.331  0.661  0.940
Cd  0.669  0.339  0.060

***

--- 2 ---
## Cd6AgPd2 (GGA-PBE)

Data for crystalline Cd6AgPd2 at its relaxed geometry.

Summary:
The magnetic moment is 0.00 μB per atom. The value obtained for the calculated volume is 21.38 A^3/atom. The crystal system is monoclinic. For the density of states at the Fermi level, the calculation gives 2.82 states/eV/f.u.

abc: 4.871 7.455 6.953
angles: 122.42 111.31 90.00
Sites, in units of the cell vectors:
Cd  0.500  0.211  0.000
Cd  0.171  0.868  0.343
Cd  0.171  0.475  0.343
Ag  0.000  0.000  0.000
Cd  0.829  0.525  0.657
Pd  0.330  0.330  0.660
Cd  0.500  0.789  0.000
Cd  0.829  0.132  0.657
Pd  0.670  0.670  0.340

***

Most stable structure: 1

***

--- 1 ---
## Cd2AgPd8 (GGA-PBE)

Data for crystalline Cd2AgPd8 at its relaxed geometry.

Summary:
The magnetic moment is 0.00 μB per atom. The value obtained for the calculated volume is 17.44 A^3/atom. The crystal system is monoclinic. For the density of states at the Fermi level, the calculation gives 10.12 states/eV/f.u.

abc: 4.854 7.305 7.982
angles: 62.77 72.77 49.67
Sites, in units of the cell vectors:
Pd  0.500  0.195  0.611
Pd  0.778  0.375  0.728
Pd  0.222  0.897  0.728
Pd  0.294  0.452  0.000
Ag  0.500  0.000  0.000
Cd  0.000  0.315  0.370
Pd  0.222  0.625  0.272
Pd  0.500  0.805  0.389
Pd  0.706  0.548  0.000
Cd  0.000  0.685  0.630
Pd  0.778  0.103  0.272

***

--- 2 ---
## Cd2AgPd8 (GGA-PBE)

Data for crystalline Cd2AgPd8 at its relaxed geometry.

Summary:
The magnetic moment is 0.00 μB per atom. The value obtained for the calculated volume is 16.93 A^3/atom. The crystal system is orthorhombic. For the density of states at the Fermi level, the calculation gives 13.14 states/eV/f.u.

abc: 4.387 6.933 7.370
angles: 118.06 107.32 90.00
Sites, in units of the cell vectors:
Pd  0.355  0.145  0.709
Pd  0.355  0.565  0.709
Pd  0.000  0.703  0.000
Ag  0.500  0.000  0.000
Pd  0.645  0.855  0.291
Cd  0.202  0.702  0.404
Pd  0.848  0.848  0.697
Pd  0.645  0.435  0.291
Pd  0.000  0.297  0.000
Cd  0.798  0.298  0.596
Pd  0.152  0.152  0.303

***

Most stable structure: 2

***

--- 1 ---
## Cd2Ag3Pd4 (GGA-PBE)

Data for crystalline Cd2Ag3Pd4 at its relaxed geometry.

Summary:
The magnetic moment is 0.00 μB per atom. The value obtained for the calculated volume is 17.07 A^3/atom. The crystal system is triclinic. For the density of states at the Fermi level, the calculation gives 2.92 states/eV/f.u.

abc: 4.131 4.917 8.680
angles: 75.17 89.87 65.25
Sites, in units of the cell vectors:
Cd  0.330  0.339  0.782
Pd  0.004  0.993  0.334
Ag  0.000  0.000  0.000
Pd  0.996  0.007  0.666
Cd  0.670  0.661  0.218
Pd  0.336  0.328  0.113
Pd  0.664  0.672  0.887
Ag  0.663  0.674  0.556
Ag  0.337  0.326  0.444

***

--- 2 ---
## Cd2Ag3Pd4 (GGA-PBE)

Data for crystalline Cd2Ag3Pd4 at its relaxed geometry.

Summary:
The magnetic moment is 0.00 μB per atom. The value obtained for the calculated volume is 17.63 A^3/atom. The crystal system is monoclinic. For the density of states at the Fermi level, the calculation gives 4.00 states/eV/f.u.

abc: 5.225 7.954 7.954
angles: 76.38 82.98 82.98
Sites, in units of the cell vectors:
Ag  0.750  0.491  0.509
Ag  0.939  0.961  0.837
Pd  0.420  0.496  0.832
Pd  0.501  0.181  0.705
Ag  0.439  0.837  0.961
Pd  0.580  0.504  0.168
Ag  0.250  0.509  0.491
Ag  0.561  0.163  0.039
Pd  0.499  0.819  0.295
Cd  0.890  0.625  0.841
Cd  0.110  0.375  0.159
Pd  0.999  0.295  0.819
Pd  0.920  0.832  0.496
Ag  0.061  0.039  0.163
Pd  0.080  0.168  0.504
Pd  0.001  0.705  0.181
Cd  0.610  0.159  0.375
Cd  0.390  0.841  0.625

***

Most stable structure: 1

***

--- 1 ---
## Cd6AgPd3 (GGA-PBE)

Data for crystalline Cd6AgPd3 at its relaxed geometry.

Summary:
The magnetic moment is 0.00 μB per atom. The value obtained for the calculated volume is 20.14 A^3/atom. The crystal system is monoclinic. For the density of states at the Fermi level, the calculation gives 3.31 states/eV/f.u.

abc: 7.361 6.997 7.830
angles: 90.00 92.94 90.00
Sites, in units of the cell vectors:
Cd  0.221  0.611  0.746
Pd  0.046  0.690  0.254
Cd  0.149  0.346  0.433
Cd  0.157  0.369  0.063
Ag  0.000  0.000  0.000
Cd  0.779  0.389  0.254
Cd  0.843  0.631  0.937
Pd  0.954  0.310  0.746
Ag  0.500  0.500  0.500
Cd  0.657  0.131  0.563
Cd  0.351  0.846  0.067
Cd  0.279  0.111  0.754
Pd  0.000  0.000  0.500
Pd  0.454  0.190  0.246
Pd  0.500  0.500  0.000
Pd  0.546  0.810  0.754
Cd  0.343  0.869  0.437
Cd  0.721  0.889  0.246
Cd  0.649  0.154  0.933
Cd  0.851  0.654  0.567

***

--- 2 ---
## Cd6AgPd3 (GGA-PBE)

Data for crystalline Cd6AgPd3 at its relaxed geometry.

Summary:
The magnetic moment is 0.00 μB per atom. The value obtained for the calculated volume is 18.62 A^3/atom. The crystal system is monoclinic. For the density of states at the Fermi level, the calculation gives 2.60 states/eV/f.u.

abc: 4.781 8.037 10.200
angles: 108.11 90.00 90.00
Sites, in units of the cell vectors:
Cd  0.750  0.732  0.501
Cd  0.750  0.534  0.916
Cd  0.250  0.268  0.499
Pd  0.750  0.635  0.210
Cd  0.250  0.072  0.885
Cd  0.250  0.161  0.186
Cd  0.750  0.162  0.719
Cd  0.250  0.646  0.680
Cd  0.750  0.928  0.115
Cd  0.750  0.354  0.320
Pd  0.750  0.234  0.024
Ag  0.250  0.956  0.582
Cd  0.250  0.466  0.084
Cd  0.750  0.839  0.814
Pd  0.250  0.549  0.382
Pd  0.750  0.451  0.618
Cd  0.250  0.838  0.281
Pd  0.250  0.365  0.790
Pd  0.250  0.766  0.976
Ag  0.750  0.044  0.418

***

Most stable structure: 2

***

--- 1 ---
## CdAg2Pd5 (GGA-PBE)

Data for crystalline CdAg2Pd5 at its relaxed geometry.

Summary:
The magnetic moment is 0.00 μB per atom. The value obtained for the calculated volume is 16.44 A^3/atom. The crystal system is tetragonal. For the density of states at the Fermi level, the calculation gives 9.53 states/eV/f.u.

abc: 4.017 4.017 8.630
angles: 103.46 103.46 90.00
Sites, in units of the cell vectors:
Cd  0.000  0.000  0.000
Ag  0.250  0.250  0.499
Pd  0.624  0.124  0.248
Ag  0.750  0.750  0.501
Pd  0.376  0.876  0.752
Pd  0.876  0.376  0.752
Pd  0.124  0.624  0.248
Pd  0.500  0.500  0.000

***

--- 2 ---
## CdAg2Pd5 (GGA-PBE)

Data for crystalline CdAg2Pd5 at its relaxed geometry.

Summary:
The magnetic moment is 0.00 μB per atom. The value obtained for the calculated volume is 16.43 A^3/atom. The crystal system is orthorhombic. For the density of states at the Fermi level, the calculation gives 6.17 states/eV/f.u.

abc: 4.020 5.718 11.435
angles: 90.00 90.00 90.00
Sites, in units of the cell vectors:
Pd  0.000  0.000  0.000
Ag  0.500  0.759  0.872
Pd  0.500  0.247  0.375
Ag  0.500  0.241  0.128
Pd  0.500  0.253  0.875
Ag  0.500  0.741  0.372
Pd  0.000  0.993  0.250
Pd  0.500  0.747  0.125
Pd  0.000  0.507  0.750
Cd  0.000  0.000  0.500
Pd  0.000  0.500  0.500
Ag  0.500  0.259  0.628
Pd  0.000  0.493  0.250
Pd  0.000  0.007  0.750
Pd  0.500  0.753  0.625
Cd  0.000  0.500  0.000

***

Most stable structure: 1

***

--- 1 ---
## Cd3Ag2Pd7 (GGA-PBE)

Data for crystalline Cd3Ag2Pd7 at its relaxed geometry.

Summary:
The magnetic moment is 0.00 μB per atom. The value obtained for the calculated volume is 17.98 A^3/atom. The crystal system is monoclinic. For the density of states at the Fermi level, the calculation gives 7.20 states/eV/f.u.

abc: 2.888 4.642 16.245
angles: 97.83 90.00 90.00
Sites, in units of the cell vectors:
Pd  0.000  0.284  0.854
Ag  0.500  0.372  0.713
Pd  0.500  0.208  0.147
Pd  0.000  0.000  0.000
Ag  0.500  0.628  0.287
Cd  0.000  0.808  0.612
Cd  0.000  0.192  0.388
Cd  0.500  0.500  0.000
Pd  0.500  0.272  0.546
Pd  0.500  0.792  0.853
Pd  0.000  0.716  0.146
Pd  0.500  0.728  0.454

***

--- 2 ---
## Cd3Ag2Pd7 (GGA-PBE)

Data for crystalline Cd3Ag2Pd7 at its relaxed geometry.

Summary:
The magnetic moment is 0.00 μB per atom. The value obtained for the calculated volume is 18.53 A^3/atom. The crystal system is orthorhombic. For the density of states at the Fermi level, the calculation gives 3.16 states/eV/f.u.

abc: 4.569 4.591 10.847
angles: 102.22 90.00 90.00
Sites, in units of the cell vectors:
Pd  0.000  0.720  0.440
Pd  0.000  0.000  0.000
Cd  0.500  0.500  0.000
Pd  0.000  0.576  0.151
Ag  0.000  0.148  0.297
Cd  0.500  0.346  0.692
Ag  0.000  0.852  0.703
Pd  0.500  0.073  0.146
Pd  0.500  0.927  0.854
Pd  0.000  0.280  0.560
Pd  0.000  0.424  0.849
Cd  0.500  0.654  0.308

***

Most stable structure: 2

***

--- 1 ---
## Cd3Ag3Pd (GGA-PBE)

Data for crystalline Cd3Ag3Pd at its relaxed geometry.

Summary:
The magnetic moment is 0.00 μB per atom. The value obtained for the calculated volume is 20.37 A^3/atom. The crystal system is trigonal. For the density of states at the Fermi level, the calculation gives 2.53 states/eV/f.u.

abc: 7.057 7.057 7.765
angles: 62.97 62.97 60.00
Sites, in units of the cell vectors:
Cd  0.236  0.695  0.171
Cd  0.695  0.898  0.171
Pd  0.681  0.681  0.958
Cd  0.305  0.102  0.829
Ag  0.239  0.939  0.391
Cd  0.764  0.305  0.829
Ag  0.061  0.569  0.609
Cd  0.102  0.764  0.829
Ag  0.569  0.761  0.609
Ag  0.939  0.431  0.391
Pd  0.319  0.319  0.042
Cd  0.898  0.236  0.171
Ag  0.431  0.239  0.391
Ag  0.761  0.061  0.609

***

--- 2 ---
## Cd3Ag3Pd (GGA-PBE)

Data for crystalline Cd3Ag3Pd at its relaxed geometry.

Summary:
The magnetic moment is 0.00 μB per atom. The value obtained for the calculated volume is 20.15 A^3/atom. The crystal system is orthorhombic. For the density of states at the Fermi level, the calculation gives 3.03 states/eV/f.u.

abc: 5.826 5.826 8.457
angles: 90.00 90.00 79.40
Sites, in units of the cell vectors:
Cd  0.000  0.000  0.757
Ag  0.300  0.700  0.500
Cd  0.000  0.500  0.758
Ag  0.700  0.300  0.500
Cd  0.500  0.000  0.242
Cd  0.000  0.000  0.243
Ag  0.305  0.695  0.000
Cd  0.000  0.500  0.242
Ag  0.778  0.778  0.500
Pd  0.218  0.218  0.000
Pd  0.782  0.782  0.000
Ag  0.222  0.222  0.500
Cd  0.500  0.000  0.758
Ag  0.695  0.305  0.000

***

Most stable structure: 2

***

--- 1 ---
## Cd4AgPd2 (GGA-PBE)

Data for crystalline Cd4AgPd2 at its relaxed geometry.

Summary:
The magnetic moment is 0.00 μB per atom. The value obtained for the calculated volume is 20.11 A^3/atom. The crystal system is tetragonal. For the density of states at the Fermi level, the calculation gives 2.39 states/eV/f.u.

abc: 5.680 5.680 5.680
angles: 112.56 107.95 107.95
Sites, in units of the cell vectors:
Ag  0.000  0.000  0.000
Pd  0.500  0.000  0.500
Cd  0.000  0.000  0.500
Cd  0.500  0.500  0.500
Cd  0.500  0.000  0.000
Cd  0.000  0.500  0.000
Pd  0.500  0.500  0.000

***

--- 2 ---
## Cd4AgPd2 (GGA-PBE)

Data for crystalline Cd4AgPd2 at its relaxed geometry.

Summary:
The magnetic moment is 0.00 μB per atom. The value obtained for the calculated volume is 19.79 A^3/atom. The crystal system is monoclinic. For the density of states at the Fermi level, the calculation gives 3.23 states/eV/f.u.

abc: 7.350 5.890 7.145
angles: 90.00 116.38 90.00
Sites, in units of the cell vectors:
Ag  0.313  0.750  0.052
Cd  0.702  0.999  0.309
Cd  0.298  0.001  0.691
Cd  0.298  0.499  0.691
Pd  0.485  0.750  0.492
Pd  0.515  0.250  0.508
Pd  0.658  0.750  0.952
Pd  0.342  0.250  0.048
Cd  0.702  0.501  0.309
Cd  0.943  0.250  0.740
Ag  0.687  0.250  0.948
Cd  0.900  0.750  0.747
Cd  0.100  0.250  0.253
Cd  0.057  0.750  0.260

***

Most stable structure: 1